1.
First-principles (PBE-GGA) data for a relaxed structure of K2HoErSe4, as listed in Alexandria via LeMat-Bulk.

Geometry as CIF:
```
data_K2HoErSe4
_symmetry_space_group_name_H-M 'P 1 2/m 1'
_symmetry_Int_Tables_number 10
_cell_length_a 7.2526
_cell_length_b 4.1885
_cell_length_c 8.0505
_cell_angle_alpha 90.00
_cell_angle_beta 107.48
_cell_angle_gamma 90.00
loop_
_symmetry_equiv_pos_as_xyz
'x,y,z'
'-x,-y,-z'
'-x,y,-z'
'x,-y,z'
loop_
_atom_site_label
_atom_site_type_symbol
_atom_site_fract_x
_atom_site_fract_y
_atom_site_fract_z
K1 K 0.0000 0.0000 0.0000
K2 K 0.5000 0.5000 0.0000
Ho1 Ho 0.0000 0.5000 0.5000
Er1 Er 0.5000 0.0000 0.5000
Se1 Se 0.2355 0.0000 0.7040
Se2 Se 0.2663 0.5000 0.2963
```

Formation energy without anion corrections, eV/atom: -1.7596
Volume, Å³ per cell: 233.3
Electronic total energy, eV per atom: -4.92
Total moment, μB/cell: 0.00

=====

2.
First-principles (PBE-GGA) data for a relaxed structure of K3HoEr2Se6, as listed in Alexandria via LeMat-Bulk.

Geometry as CIF:
```
data_K3HoEr2Se6
_symmetry_space_group_name_H-M 'C 1 2/m 1'
_symmetry_Int_Tables_number 12
_cell_length_a 7.2494
_cell_length_b 12.5560
_cell_length_c 8.0494
_cell_angle_alpha 90.00
_cell_angle_beta 107.47
_cell_angle_gamma 90.00
loop_
_symmetry_equiv_pos_as_xyz
'x,y,z'
'-x,-y,-z'
'-x,y,-z'
'x,-y,z'
'x+1/2,y+1/2,z'
'-x+1/2,-y+1/2,-z'
'-x+1/2,y+1/2,-z'
'x+1/2,-y+1/2,z'
loop_
_atom_site_label
_atom_site_type_symbol
_atom_site_fract_x
_atom_site_fract_y
_atom_site_fract_z
K1 K 0.0000 0.0000 0.0000
K2 K 0.0000 0.3335 0.0000
Ho1 Ho 0.0000 0.5000 0.5000
Er1 Er 0.0000 0.1667 0.5000
Se1 Se 0.2336 0.0000 0.7038
Se2 Se 0.2351 0.3329 0.7038
```

Formation energy without anion corrections, eV/atom: -1.7592
Volume, Å³ per cell: 698.9
Electronic total energy, eV per atom: -4.92
Total moment, μB/cell: 0.00

=====

3.
First-principles (PBE-GGA) data for a relaxed structure of KHo2Er3Te6, as listed in Alexandria via LeMat-Bulk.

Geometry as CIF:
```
data_KHo2Er3Te6
_symmetry_space_group_name_H-M 'C 1 2/m 1'
_symmetry_Int_Tables_number 12
_cell_length_a 19.2358
_cell_length_b 4.3426
_cell_length_c 8.9429
_cell_angle_alpha 90.00
_cell_angle_beta 104.09
_cell_angle_gamma 90.00
loop_
_symmetry_equiv_pos_as_xyz
'x,y,z'
'-x,-y,-z'
'-x,y,-z'
'x,-y,z'
'x+1/2,y+1/2,z'
'-x+1/2,-y+1/2,-z'
'-x+1/2,y+1/2,-z'
'x+1/2,-y+1/2,z'
loop_
_atom_site_label
_atom_site_type_symbol
_atom_site_fract_x
_atom_site_fract_y
_atom_site_fract_z
K1 K 0.0000 0.0000 0.0000
Ho1 Ho 0.1704 0.5000 0.3463
Er1 Er 0.0000 0.0000 0.5000
Er2 Er 0.1607 0.5000 0.8201
Te1 Te 0.0037 0.5000 0.2675
Te2 Te 0.1650 0.0000 0.5847
Te3 Te 0.1754 0.0000 0.0863
```

Formation energy without anion corrections, eV/atom: -1.2480
Volume, Å³ per cell: 724.6
Electronic total energy, eV per atom: -4.81
Total moment, μB/cell: 0.00

=====

4.
First-principles (PBE-GGA) data for a relaxed structure of K3HoEr3Te8, as listed in Alexandria via LeMat-Bulk.

Geometry as CIF:
```
data_K3HoEr3Te8
_symmetry_space_group_name_H-M 'R -3 m'
_symmetry_Int_Tables_number 166
_symmetry_space_group_name_Hall '-R 3 2"'
_cell_length_a 8.7221
_cell_length_b 8.7221
_cell_length_c 25.5281
_cell_angle_alpha 90.00
_cell_angle_beta 90.00
_cell_angle_gamma 120.00
loop_
_atom_site_label
_atom_site_type_symbol
_atom_site_fract_x
_atom_site_fract_y
_atom_site_fract_z
K1 K 0.0000 0.5000 0.0000
Ho1 Ho 0.0000 0.0000 0.5000
Er1 Er 0.0000 0.5000 0.5000
Te1 Te 0.0000 0.0000 0.2358
Te2 Te 0.0032 0.5016 0.7643
```

Formation energy without anion corrections, eV/atom: -1.3106
Volume, Å³ per cell: 1682.0
Electronic total energy, eV per atom: -4.42
Total moment, μB/cell: 0.00

=====

5.
First-principles (PBE-GGA) data for a relaxed structure of K4Ho3ErTe8, as listed in Alexandria via LeMat-Bulk.

Geometry as CIF:
```
data_K4Ho3ErTe8
_symmetry_space_group_name_H-M 'C 1 2/m 1'
_symmetry_Int_Tables_number 12
_cell_length_a 15.5083
_cell_length_b 8.9531
_cell_length_c 9.7290
_cell_angle_alpha 90.00
_cell_angle_beta 122.15
_cell_angle_gamma 90.00
loop_
_symmetry_equiv_pos_as_xyz
'x,y,z'
'-x,-y,-z'
'-x,y,-z'
'x,-y,z'
'x+1/2,y+1/2,z'
'-x+1/2,-y+1/2,-z'
'-x+1/2,y+1/2,-z'
'x+1/2,-y+1/2,z'
loop_
_atom_site_label
_atom_site_type_symbol
_atom_site_fract_x
_atom_site_fract_y
_atom_site_fract_z
K1 K 0.0000 0.0000 0.0000
K2 K 0.0000 0.5000 0.0000
K3 K 0.2500 0.2500 0.0000
Ho1 Ho 0.0000 0.0000 0.5000
Ho2 Ho 0.2500 0.2500 0.5000
Er1 Er 0.0000 0.5000 0.5000
Te1 Te 0.0139 0.2506 0.2927
Te2 Te 0.2355 0.5000 0.7073
Te3 Te 0.2360 0.0000 0.7077
```

Formation energy without anion corrections, eV/atom: -1.3877
Volume, Å³ per cell: 1143.7
Electronic total energy, eV per atom: -4.38
Total moment, μB/cell: 0.00

=====

6.
First-principles (PBE-GGA) data for a relaxed structure of K4HoEr3Te8, as listed in Alexandria via LeMat-Bulk.

Geometry as CIF:
```
data_K4HoEr3Te8
_symmetry_space_group_name_H-M 'R -3 m'
_symmetry_Int_Tables_number 166
_symmetry_space_group_name_Hall '-R 3 2"'
_cell_length_a 8.9392
_cell_length_b 8.9392
_cell_length_c 24.7083
_cell_angle_alpha 90.00
_cell_angle_beta 90.00
_cell_angle_gamma 120.00
loop_
_atom_site_label
_atom_site_type_symbol
_atom_site_fract_x
_atom_site_fract_y
_atom_site_fract_z
K1 K 0.0000 0.0000 0.0000
K2 K 0.0000 0.5000 0.0000
Ho1 Ho 0.0000 0.0000 0.5000
Er1 Er 0.0000 0.5000 0.5000
Te1 Te 0.0000 0.0000 0.2356
Te2 Te 0.0007 0.5003 0.7643
```

Formation energy without anion corrections, eV/atom: -1.3839
Volume, Å³ per cell: 1710.0
Electronic total energy, eV per atom: -4.37
Total moment, μB/cell: 0.00